The following is a PBE calculation of a relaxed structure of ScMnSb2Te, from the Alexandria database.

Output
Size of the total moment = 4.62 μB/f.u.
Relative energy among the computed polymorphs = 0.298 eV per atom

abc: 5.8417 5.8417 5.8935
angles: 90.00 90.00 90.00
Fractional positions:
Sb 0.5000 0.0000 0.0000
Te 0.0000 0.0000 0.5000
Mn 0.5000 0.5000 0.5000
Sb 0.0000 0.5000 0.0000
Sc 0.0000 0.0000 0.0000